CaCeSm2 (PBE, relaxed); N(E_F) = 1.83 states/eV per atom; energy relative to the elements = 0.8024 eV/atom; size of the total moment = 0.00 μB/atom; symmetry = No. 166
1.0
-3.8495 -1.1952 -0.9905
-2.0753 -2.5893 2.4934
-5.7117 6.5926 5.5468
Ca Ce Sm
1 1 2
direct
0.0000 0.0000 0.0000
0.5000 0.5000 0.5000
0.1140 0.1140 0.6579
0.8860 0.8860 0.3421


CrNi2Os (PBE, relaxed); N(E_F) = 1.63 states/eV per atom; energy relative to the elements = 0.1963 eV/atom; size of the total moment = 0.19 μB/atom; symmetry = No. 166
1.0
-4.0202 -2.2944 -7.1713
-2.8331 -4.5379 -6.6509
-5.1129 -3.9921 -5.5474
Cr Ni Os
1 2 1
direct
0.2500 0.2500 0.2500
0.9974 0.9974 0.9974
0.5026 0.5026 0.5026
0.7500 0.7500 0.7500


La3Sm5Ru2 (PBE, relaxed); N(E_F) = 1.06 states/eV per atom; energy relative to the elements = -0.0952 eV/atom; size of the total moment = 0.00 μB/atom; symmetry = No. 72
1.0
-0.4530 -3.6678 -7.4487
4.1344 -9.2518 -0.3370
-6.0158 -8.1576 -0.2585
La Sm Ru
6 10 4
direct
0.2500 0.0000 0.0000
0.7500 0.0000 0.0000
0.3832 0.3847 0.8489
0.6168 0.6153 0.1511
0.8832 0.8489 0.3847
0.1168 0.1511 0.6153
0.2500 0.5000 0.5000
0.7500 0.5000 0.5000
0.4994 0.7506 0.7506
0.0006 0.2494 0.2494
0.5006 0.2494 0.2494
0.9994 0.7506 0.7506
0.1357 0.5980 0.1307
0.8643 0.4020 0.8693
0.6357 0.1307 0.5980
0.3643 0.8693 0.4020
0.1306 0.8824 0.8564
0.8694 0.1176 0.1436
0.6306 0.8564 0.8824
0.3694 0.1436 0.1176